SiNiTe2 (PBE, optimized geometry); symmetry = No. 44; raw total energy = -4.12 eV per atom; magnetization = 0.0000 μB/atom; formation energy (no corrections) = 0.249 eV/atom
1.0
3.0928 0.0000 0.0000
0.0000 4.8267 0.0000
0.0000 0.0000 11.5236
Si Ni Te
2 2 4
direct
0.0000 0.0000 0.0000
0.5000 0.5000 0.5000
0.0000 0.5000 0.6536
0.5000 0.0000 0.1536
0.0000 0.0000 0.3566
0.0000 0.5000 0.1591
0.5000 0.0000 0.6591
0.5000 0.5000 0.8566